Here is a relaxed structure of ScHgSe2 from Alexandria via LeMat-Bulk. Energies are from PBE.

abc: 4.078 6.357 6.357
angles: 34.64 90.00 90.00
Element x y z (fractional)
Sc 0.000 0.000 0.000
Hg 0.500 0.197 0.197
Se 0.000 0.667 0.667
Se 0.500 0.425 0.425

Output
**Electronic total energy**: -4.2802 eV/atom
**Density of states at the Fermi level**: 1.3 states/eV per cell
**Formation energy without anion corrections**: -3.5 eV per formula unit

=====

Here is a relaxed structure of ScHgSe2 from Alexandria via LeMat-Bulk. Energies are from PBE.

abc: 8.730 8.730 8.730
angles: 26.07 26.07 26.07
Element x y z (fractional)
Sc 0.000 0.000 0.000
Hg 0.500 0.500 0.500
Se 0.392 0.392 0.392
Se 0.608 0.608 0.608

Output
**Electronic total energy**: -4.3737 eV/atom
**Density of states at the Fermi level**: 3.5 states/eV per cell
**Formation energy without anion corrections**: -3.9 eV per formula unit

=====

Here is a relaxed structure of ScHgSe from Alexandria via LeMat-Bulk. Energies are from PBE.

abc: 3.851 3.851 6.210
angles: 90.00 90.00 120.00
Element x y z (fractional)
Sc 0.000 0.000 0.000
Hg 0.667 0.333 0.671
Se 0.333 0.667 0.219

Output
**Electronic total energy**: -4.1947 eV/atom
**Offset from the most stable computed form**: 3 meV per atom
**Density of states at the Fermi level**: 2.1 states/eV per cell
**Formation energy without anion corrections**: -2.5 eV per formula unit

=====

Here is a relaxed structure of ScHgSe2 from Alexandria via LeMat-Bulk. Energies are from PBE.

abc: 3.294 3.294 9.863
angles: 90.00 90.00 102.57
Element x y z (fractional)
Sc 0.000 0.000 0.000
Hg 0.000 0.000 0.500
Se 0.500 0.500 0.175
Se 0.500 0.500 0.825

Output
**Electronic total energy**: -4.1890 eV/atom
**Density of states at the Fermi level**: 1.9 states/eV per cell
**Formation energy without anion corrections**: -3.2 eV per formula unit

=====

Q: Which of these has the highest electronic total energy?
A: number 4

=====

Please write out number 2 again, unchanged.
Here is a relaxed structure of ScHgSe2 from Alexandria via LeMat-Bulk. Energies are from PBE.

abc: 8.730 8.730 8.730
angles: 26.07 26.07 26.07
Element x y z (fractional)
Sc 0.000 0.000 0.000
Hg 0.500 0.500 0.500
Se 0.392 0.392 0.392
Se 0.608 0.608 0.608

Output
**Electronic total energy**: -4.3737 eV/atom
**Density of states at the Fermi level**: 3.5 states/eV per cell
**Formation energy without anion corrections**: -3.9 eV per formula unit

=====

Copy entry 3 word for word.
Here is a relaxed structure of ScHgSe from Alexandria via LeMat-Bulk. Energies are from PBE.

abc: 3.851 3.851 6.210
angles: 90.00 90.00 120.00
Element x y z (fractional)
Sc 0.000 0.000 0.000
Hg 0.667 0.333 0.671
Se 0.333 0.667 0.219

Output
**Electronic total energy**: -4.1947 eV/atom
**Offset from the most stable computed form**: 3 meV per atom
**Density of states at the Fermi level**: 2.1 states/eV per cell
**Formation energy without anion corrections**: -2.5 eV per formula unit